No. 1
CuIrS | Alexandria via LeMat-Bulk | PBE | relaxed; total DFT energy (no corrections) = -5.6552 eV per atom; magnetization = 0.00 μB per formula unit; space group = P2_1/m, No. 11
1.0
-0.522 0.660 3.207
-5.439 0.485 -0.986
0.356 -5.111 1.110
S Ir Cu
2 2 2
Direct
0.750 0.129 0.719
0.250 0.871 0.281
0.750 0.707 0.502
0.250 0.293 0.498
0.250 0.649 0.880
0.750 0.351 0.120

***

No. 2
Cu4IrS2 | Alexandria via LeMat-Bulk | PBE | relaxed; total DFT energy (no corrections) = -4.0022 eV per atom; magnetization = 1.09 μB per formula unit; space group = I4/mmm, No. 139
1.0
-0.604 0.003 -4.619
-2.316 -4.030 0.300
-6.641 1.014 -1.480
Cu S Ir
4 2 1
Direct
0.500 0.000 0.000
0.201 0.201 0.597
0.000 0.500 0.000
0.799 0.799 0.403
0.623 0.623 0.754
0.377 0.377 0.246
0.000 0.000 0.000

***

No. 3
Cu3IrS | Alexandria via LeMat-Bulk | PBE | relaxed; total DFT energy (no corrections) = -4.3800 eV per atom; magnetization = 0.00 μB per formula unit; space group = Pm-3m, No. 221
1.0
-4.082 1.016 0.118
-0.963 -3.656 -1.847
-0.344 -1.819 3.779
Cu S Ir
3 1 1
Direct
0.000 0.000 0.500
0.000 0.500 0.000
0.500 0.000 0.000
0.000 0.000 0.000
0.500 0.500 0.500

***

No. 4
CuIrS4 | Alexandria via LeMat-Bulk | PBE | relaxed; total DFT energy (no corrections) = -5.1395 eV per atom; magnetization = 0.00 μB per formula unit; space group = P2_1/c, No. 14
1.0
5.682 0.000 -0.796
0.000 5.748 0.000
0.931 0.000 5.763
S Cu Ir
8 2 2
Direct
0.604 0.101 0.109
0.396 0.899 0.891
0.104 0.399 0.109
0.896 0.601 0.891
0.883 0.116 0.603
0.383 0.384 0.603
0.617 0.616 0.397
0.117 0.884 0.397
0.000 0.000 0.000
0.500 0.500 0.000
0.000 0.500 0.500
0.500 0.000 0.500

***

No. 5
Cu3Ir3S8 | Alexandria via LeMat-Bulk | PBE | relaxed; total DFT energy (no corrections) = -5.4321 eV per atom; magnetization = 0.00 μB per formula unit; space group = R-3m, No. 166
1.0
6.052 -0.045 3.402
1.969 5.723 3.402
-0.063 -0.045 6.942
Ir S Cu
3 8 3
Direct
0.000 0.000 0.500
0.500 0.000 0.000
0.000 0.500 0.000
0.240 0.240 0.240
0.243 0.779 0.243
0.757 0.757 0.221
0.779 0.243 0.243
0.221 0.757 0.757
0.760 0.760 0.760
0.757 0.221 0.757
0.243 0.243 0.779
0.621 0.621 0.621
0.379 0.379 0.379
0.000 0.000 0.000

***

No. 6
Cu3IrS | Alexandria via LeMat-Bulk | PBE | relaxed; total DFT energy (no corrections) = -3.7763 eV per atom; magnetization = 0.00 μB per formula unit; space group = Pm-3m, No. 221
1.0
4.641 0.000 0.000
0.000 4.641 0.000
0.000 0.000 4.641
Cu S Ir
3 1 1
Direct
0.500 0.000 0.000
0.000 0.500 0.000
0.000 0.000 0.500
0.500 0.500 0.500
0.000 0.000 0.000

***

No. 7
CuIr2S2 | Alexandria via LeMat-Bulk | PBE | relaxed; total DFT energy (no corrections) = -5.5565 eV per atom; magnetization = 0.00 μB per formula unit; space group = P4/mbm, No. 127
1.0
-6.997 1.096 -0.615
-0.677 -0.357 7.068
0.447 2.964 0.192
S Ir Cu
4 4 2
Direct
0.855 0.355 0.500
0.645 0.855 0.500
0.355 0.145 0.500
0.145 0.645 0.500
0.818 0.682 0.000
0.318 0.818 0.000
0.682 0.182 0.000
0.182 0.318 0.000
0.000 0.000 0.000
0.500 0.500 0.000

***

No. 8
CuIr2S | Alexandria via LeMat-Bulk | PBE | relaxed; total DFT energy (no corrections) = -5.8504 eV per atom; magnetization = 0.00 μB per formula unit; space group = I-42d, No. 122
1.0
-5.245 -0.581 -1.993
-1.173 -3.639 4.148
-4.634 1.442 3.791
Ir Cu S
4 2 2
Direct
0.162 0.625 0.250
0.588 0.125 0.250
0.375 0.412 0.750
0.875 0.838 0.750
0.750 0.250 0.500
0.000 0.000 0.000
0.250 0.750 0.500
0.500 0.500 0.000

***

No. 9
CuIr2S2 | Alexandria via LeMat-Bulk | PBE | relaxed; total DFT energy (no corrections) = -5.6796 eV per atom; magnetization = 0.00 μB per formula unit; space group = I4/mmm, No. 139
1.0
-2.743 -0.931 -3.500
-0.954 -4.050 1.825
-4.894 -0.890 1.124
S Ir Cu
2 2 1
Direct
0.250 0.750 0.500
0.750 0.250 0.500
0.666 0.666 0.668
0.334 0.334 0.332
0.000 0.000 0.000

***

No. 10
CuSb2IrS | Alexandria via LeMat-Bulk | PBE | relaxed; total DFT energy (no corrections) = -4.1631 eV per atom; magnetization = 0.00 μB per formula unit; space group = P4/mmm, No. 123
1.0
5.126 0.000 0.000
0.000 4.105 0.000
0.000 0.000 5.126
Sb Cu Ir S
2 1 1 1
Direct
0.000 0.000 0.500
0.500 0.000 0.000
0.000 0.000 0.000
0.500 0.500 0.500
0.000 0.500 0.000

***

No. 11
Cu2SnIrS | Alexandria via LeMat-Bulk | PBE | relaxed; total DFT energy (no corrections) = -4.4808 eV per atom; magnetization = 0.17 μB per formula unit; space group = P4/mmm, No. 123
1.0
-2.505 1.512 2.882
-2.471 -5.165 0.562
2.735 -0.993 2.898
Ir Cu Sn S
1 2 1 1
Direct
0.500 0.500 0.500
0.500 0.000 0.000
0.000 0.000 0.500
0.000 0.500 0.000
0.000 0.000 0.000

***

No. 12
CuSnIrS4 | Alexandria via LeMat-Bulk | PBE | relaxed; total DFT energy (no corrections) = -5.2085 eV per atom; magnetization = 0.00 μB per formula unit; space group = Imma, No. 74
1.0
-4.376 -0.156 5.828
-3.825 -5.962 1.527
1.745 -4.035 5.761
Ir S Sn Cu
2 8 2 2
Direct
0.500 0.000 0.500
0.000 0.000 0.500
0.250 0.781 0.719
0.750 0.781 0.719
0.750 0.219 0.281
0.733 0.766 0.266
0.250 0.219 0.281
0.236 0.766 0.266
0.267 0.234 0.734
0.764 0.234 0.734
0.000 0.500 0.500
0.000 0.000 0.000
0.626 0.624 0.124
0.374 0.376 0.876

***

No. 13
CuTc2IrS | Alexandria via LeMat-Bulk | PBE | relaxed; total DFT energy (no corrections) = -5.8878 eV per atom; magnetization = 3.99 μB per formula unit; space group = P4/mmm, No. 123
1.0
4.838 0.000 0.000
0.000 4.456 0.000
0.000 0.000 4.838
Tc Cu Ir S
2 1 1 1
Direct
0.000 0.000 0.500
0.500 0.000 0.000
0.500 0.500 0.500
0.000 0.000 0.000
0.000 0.500 0.000

***

No. 14
CuSbIr | Alexandria via LeMat-Bulk | PBE | relaxed; total DFT energy (no corrections) = -5.7154 eV per atom; magnetization = 0.00 μB per formula unit; space group = F-43m, No. 216
1.0
4.299 0.000 0.000
2.149 3.723 0.000
2.149 1.241 3.510
Sb Ir Cu
1 1 1
Direct
0.000 0.000 0.000
0.750 0.750 0.750
0.500 0.500 0.500

***

No. 15
Cu2SbIr2 | Alexandria via LeMat-Bulk | PBE | relaxed; total DFT energy (no corrections) = -5.7713 eV per atom; magnetization = 0.00 μB per formula unit; space group = P4/mbm, No. 127
1.0
7.231 0.000 0.000
0.000 7.231 0.000
0.000 0.000 2.956
Sb Cu Ir
2 4 4
Direct
0.000 0.000 0.000
0.500 0.500 0.000
0.166 0.666 0.500
0.834 0.334 0.500
0.666 0.834 0.500
0.334 0.166 0.500
0.631 0.131 0.000
0.369 0.869 0.000
0.869 0.631 0.000
0.131 0.369 0.000

***

No. 16
Cu2SbIr | Alexandria via LeMat-Bulk | PBE | relaxed; total DFT energy (no corrections) = -5.1818 eV per atom; magnetization = 0.00 μB per formula unit; space group = P4/mmm, No. 123
1.0
-2.071 1.803 2.741
-2.705 -2.772 -0.220
1.919 -2.097 2.829
Cu Sb Ir
2 1 1
Direct
0.000 0.000 0.000
0.500 0.500 0.000
0.000 0.500 0.500
0.500 0.000 0.500

***

No. 17
Cu2SbIr | Alexandria via LeMat-Bulk | PBE | relaxed; total DFT energy (no corrections) = -5.2037 eV per atom; magnetization = 0.00 μB per formula unit; space group = Pm, No. 6
1.0
-0.405 -2.261 -2.863
2.792 0.848 -1.065
5.081 -3.170 1.786
Ir Cu Sb
1 2 1
Direct
0.000 0.497 0.501
0.500 0.272 0.229
0.000 0.968 0.032
0.500 0.762 0.738

***

No. 18
CuSbIr | Alexandria via LeMat-Bulk | PBE | relaxed; total DFT energy (no corrections) = -5.4492 eV per atom; magnetization = 0.00 μB per formula unit; space group = P3m1, No. 156
1.0
4.449 0.000 0.000
-2.225 3.853 0.000
0.000 0.000 3.015
Cu Sb Ir
1 1 1
Direct
0.000 0.000 0.000
0.333 0.667 0.501
0.667 0.333 0.499

***

No. 19
CuSbIr | Alexandria via LeMat-Bulk | PBE | relaxed; total DFT energy (no corrections) = -5.2122 eV per atom; magnetization = 0.00 μB per formula unit; space group = Fmm2, No. 42
1.0
7.220 0.019 -0.012
6.299 2.855 -0.019
0.921 -1.210 2.565
Ir Sb Cu
1 1 1
Direct
0.338 0.338 0.662
0.671 0.671 0.329
0.991 0.991 0.009

***

No. 20
CuSb3Ir | Alexandria via LeMat-Bulk | PBE | relaxed; total DFT energy (no corrections) = -4.3192 eV per atom; magnetization = 0.00 μB per formula unit; space group = Pm-3m, No. 221
1.0
-4.795 0.044 1.979
0.747 -4.763 1.917
1.833 2.057 4.396
Cu Sb Ir
1 3 1
Direct
0.500 0.500 0.500
0.500 0.000 0.000
0.000 0.000 0.500
0.000 0.500 0.000
0.000 0.000 0.000